[1]
{
  "formula": "Li3RuSe",
  "functional": "PBE-GGA",
  "state": "relaxed",
  "lattice_angstrom": [[4.722, 0.000, 0.000], [0.000, 4.722, 0.000], [0.000, 0.000, 4.722]],
  "species": ["Li", "Li", "Li", "Ru", "Se"],
  "frac_coords": [[0.000, 0.000, 0.500], [0.000, 0.500, 0.000], [0.500, 0.000, 0.000], [0.000, 0.000, 0.000], [0.500, 0.500, 0.500]],
  "relative_energy_ev_per_fu": 1.74,
  "dos_ef_per_ev_atom": 0.741,
  "raw_formation_energy_kj_per_mol_fu": 296.9,
  "e_tot_ev_per_atom": -3.085
}

[2]
{
  "formula": "TiIrIO2",
  "functional": "PBE-GGA",
  "state": "relaxed",
  "lattice_angstrom": [[3.802, 0.000, 0.000], [0.000, 3.802, 0.000], [0.000, 0.000, 6.155]],
  "species": ["Ti", "Ir", "I", "O", "O"],
  "frac_coords": [[0.000, 0.000, 0.000], [0.500, 0.500, 0.500], [0.000, 0.000, 0.500], [0.000, 0.500, 0.000], [0.500, 0.000, 0.000]],
  "relative_energy_ev_per_fu": 0.00,
  "dos_ef_per_ev_atom": 0.763,
  "raw_formation_energy_kj_per_mol_fu": -358.3,
  "e_tot_ev_per_atom": -6.387
}

[3]
{
  "formula": "RbZnCl3",
  "functional": "PBE-GGA",
  "state": "relaxed",
  "lattice_angstrom": [[4.679, -4.888, 0.000], [4.679, 4.888, 0.000], [-1.703, 0.000, 6.952]],
  "species": ["Rb", "Rb", "Zn", "Zn", "Cl", "Cl", "Cl", "Cl", "Cl", "Cl"],
  "frac_coords": [[0.170, 0.830, 0.500], [0.830, 0.170, 0.000], [0.354, 0.485, 0.992], [0.485, 0.354, 0.492], [0.083, 0.655, 0.018], [0.146, 0.310, 0.422], [0.310, 0.146, 0.922], [0.545, 0.599, 0.779], [0.599, 0.545, 0.279], [0.655, 0.083, 0.518]],
  "dos_ef_per_ev_atom": 0.000,
  "raw_formation_energy_kj_per_mol_fu": -725.3,
  "e_tot_ev_per_atom": -3.060
}

[4]
{
  "formula": "CuI",
  "functional": "PBE-GGA",
  "state": "relaxed",
  "lattice_angstrom": [[0.000, 2.863, 2.863], [2.863, 0.000, 2.863], [2.863, 2.863, 0.000]],
  "species": ["Cu", "I"],
  "frac_coords": [[0.000, 0.000, 0.000], [0.500, 0.500, 0.500]],
  "dos_ef_per_ev_atom": 0.219,
  "raw_formation_energy_kj_per_mol_fu": 18.7,
  "e_tot_ev_per_atom": -2.726
}

| no. | spin magnetization (μB/cell) |
| --- | --- |
| 1 | 2.553 |
| 2 | 1.126 |
| 3 | 0.000 |
| 4 | 0.000 |